5
Lattice="4.729 0.000 0.000 0.000 4.729 0.000 0.000 0.000 4.729" Properties=species:S:1:pos:R:3 comment="Mn3NbBr, PBEsol geometry, DFT SCAN" e_form_raw_mev_per_atom=1088 dos_at_fermi_per_ev_cell=4.85 relative_energy_ev_per_atom=0.117 pbc="T T T"
Mn 0.000 0.000 2.365
Mn 0.000 2.365 0.000
Mn 2.365 0.000 0.000
Nb 0.000 0.000 0.000
Br 2.365 2.365 2.365

---

4
Lattice="4.343 0.000 0.000 0.000 4.343 0.000 0.000 0.000 3.032" Properties=species:S:1:pos:R:3 comment="Mn2NiBr, PBEsol geometry, DFT SCAN" e_form_raw_mev_per_atom=274 dos_at_fermi_per_ev_cell=2.00 relative_energy_ev_per_atom=0.345 pbc="T T T"
Mn 0.000 2.171 0.000
Mn 2.171 0.000 0.000
Ni 0.000 0.000 1.516
Br 2.171 2.171 1.516

---

8
Lattice="5.682 0.000 0.000 0.000 3.254 0.000 -1.876 0.000 6.922" Properties=species:S:1:pos:R:3 comment="Mn2NiBr, PBEsol geometry, DFT SCAN" e_form_raw_mev_per_atom=-72 dos_at_fermi_per_ev_cell=2.74 relative_energy_ev_per_atom=0.000 pbc="T T T"
Mn 0.958 0.000 1.487
Mn 0.007 1.627 5.435
Mn 3.799 1.627 1.487
Mn 2.848 0.000 5.435
Ni 0.000 1.627 0.000
Ni 2.841 0.000 0.000
Br -0.938 0.000 3.461
Br 1.903 1.627 3.461

---

8
Lattice="5.339 0.000 0.000 0.000 7.047 0.000 0.000 0.000 3.002" Properties=species:S:1:pos:R:3 comment="Mn2NiBr, PBEsol geometry, DFT SCAN" e_form_raw_mev_per_atom=261 dos_at_fermi_per_ev_cell=4.94 relative_energy_ev_per_atom=0.332 pbc="T T T"
Mn 1.335 1.762 0.000
Mn 1.335 5.285 0.000
Mn 4.004 1.762 0.000
Mn 4.004 5.285 0.000
Ni 0.000 0.000 1.501
Ni 2.669 3.524 1.501
Br 0.000 3.524 1.501
Br 2.669 0.000 1.501

---

5
Lattice="4.271 0.000 0.000 0.000 4.271 0.000 0.000 0.000 4.271" Properties=species:S:1:pos:R:3 comment="MnNi3Br, PBEsol geometry, DFT SCAN" e_form_raw_mev_per_atom=872 dos_at_fermi_per_ev_cell=1.67 pbc="T T T"
Mn 0.000 0.000 0.000
Ni 0.000 2.135 2.135
Ni 2.135 0.000 2.135
Ni 2.135 2.135 0.000
Br 2.135 2.135 2.135

---

12
Lattice="5.880 0.000 0.000 0.000 5.880 0.000 0.000 0.000 5.880" Properties=species:S:1:pos:R:3 comment="MnNiBr, PBEsol geometry, DFT SCAN" e_form_raw_mev_per_atom=341 dos_at_fermi_per_ev_cell=8.59 relative_energy_ev_per_atom=0.000 pbc="T T T"
Mn 0.000 0.000 0.000
Mn 0.000 2.940 2.940
Mn 2.940 0.000 2.940
Mn 2.940 2.940 0.000
Ni 1.470 1.470 1.470
Ni 1.470 4.410 4.410
Ni 4.410 1.470 4.410
Ni 4.410 4.410 1.470
Br 0.000 0.000 2.940
Br 0.000 2.940 0.000
Br 2.940 0.000 0.000
Br 2.940 2.940 2.940

---

5
Lattice="5.204 0.000 0.000 0.000 5.204 0.000 0.000 0.000 4.460" Properties=species:S:1:pos:R:3 comment="Y2MnNiBr, PBEsol geometry, DFT SCAN" e_form_raw_mev_per_atom=-310 dos_at_fermi_per_ev_cell=3.17 pbc="T T T"
Y 0.000 2.602 0.000
Y 2.602 0.000 0.000
Mn 0.000 0.000 2.230
Ni 0.000 0.000 0.000
Br 2.602 2.602 2.230

---

30
Lattice="5.488 0.000 0.000 0.000 6.373 0.000 -0.853 0.000 12.822" Properties=species:S:1:pos:R:3 comment="Mn4SiTeBr2O7, PBEsol geometry, DFT SCAN" e_form_raw_mev_per_atom=-1922 pbc="T T T"
Mn -0.078 1.593 4.142
Mn 0.071 1.593 10.671
Mn 1.874 0.017 1.789
Mn 1.874 3.169 1.789
Mn 2.762 3.204 11.032
Mn 2.762 6.356 11.032
Mn 4.564 4.780 2.150
Mn 4.713 4.780 8.680
Si 0.036 4.780 12.023
Si 4.599 1.593 0.799
Te 1.343 4.780 4.524
Te 3.292 1.593 8.298
Br 0.390 1.593 6.635
Br 1.755 4.780 8.596
Br 2.880 1.593 4.226
Br 4.246 4.780 6.187
O 0.343 3.476 3.493
O 0.343 6.083 3.493
O 0.645 1.593 1.401
O 0.839 4.780 0.862
O 0.815 3.402 11.570
O 0.815 6.157 11.570
O 2.013 1.593 9.772
O 2.622 4.780 3.050
O 3.820 0.216 1.252
O 3.820 2.971 1.252
O 3.796 1.593 11.959
O 3.990 4.780 11.421
O 4.292 0.290 9.329
O 4.292 2.897 9.329

---

5
Lattice="5.046 0.000 0.000 0.000 5.046 0.000 0.000 0.000 5.480" Properties=species:S:1:pos:R:3 comment="Mn2TeBrO, PBEsol geometry, DFT SCAN" e_form_raw_mev_per_atom=777 dos_at_fermi_per_ev_cell=5.28 pbc="T T T"
Mn 0.000 2.523 0.000
Mn 2.523 0.000 0.000
Te 0.000 0.000 0.000
Br 0.000 0.000 2.740
O 2.523 2.523 2.740

---

8
Lattice="5.292 0.000 0.000 0.000 9.179 0.000 -1.450 0.000 2.470" Properties=species:S:1:pos:R:3 comment="MnOs2Br, PBEsol geometry, DFT SCAN" e_form_raw_mev_per_atom=985 dos_at_fermi_per_ev_cell=7.00 relative_energy_ev_per_atom=0.205 pbc="T T T"
Mn 0.000 0.000 0.000
Mn 2.646 4.589 0.000
Os 0.598 2.295 1.235
Os 0.598 6.884 1.235
Os 3.244 2.295 1.235
Os 3.244 6.884 1.235
Br 0.000 4.589 0.000
Br 2.646 0.000 0.000

---

5
Lattice="4.489 0.000 0.000 0.000 4.489 0.000 0.000 0.000 4.489" Properties=species:S:1:pos:R:3 comment="MnOs3Br, PBEsol geometry, DFT SCAN" e_form_raw_mev_per_atom=2357 dos_at_fermi_per_ev_cell=3.06 pbc="T T T"
Mn 0.000 0.000 0.000
Os 0.000 2.244 2.244
Os 2.244 0.000 2.244
Os 2.244 2.244 0.000
Br 2.244 2.244 2.244

---

4
Lattice="2.995 0.000 0.000 0.000 2.995 0.000 0.000 0.000 6.628" Properties=species:S:1:pos:R:3 comment="MnOs2Br, PBEsol geometry, DFT SCAN" e_form_raw_mev_per_atom=780 dos_at_fermi_per_ev_cell=2.47 relative_energy_ev_per_atom=0.000 pbc="T T T"
Mn 0.000 0.000 0.000
Os 1.497 1.497 1.354
Os 1.497 1.497 5.274
Br 0.000 0.000 3.314